K2BeBH after structural relaxation, computed with PBEsol.

Lattice parameters (Å, degrees): 3.096 5.688 5.688 90.00 90.00 90.00
Each line ends with the local moment (μB).
Element x y z (fractional)
Be1 0.500 0.500 0.500  0.00
K1 0.000 0.000 0.500  0.02
K2 0.000 0.500 0.000  0.02
B1 0.500 0.000 0.000  0.31
H1 0.000 0.000 0.000  0.00

Fermi-level density of states	3.0	states/eV/cell
total magnetic moment	0.9	μB/cell
E_tot	-2.20	eV/atom

TlHgSb2 after structural relaxation, computed with PBEsol.

Lattice parameters (Å, degrees): 3.799 3.799 7.585 90.00 90.00 90.00
Element x y z (fractional)
Sb1 0.000 0.000 0.021
Sb2 0.500 0.500 0.212
Tl1 0.000 0.000 0.511
Hg1 0.500 0.500 0.756

Fermi-level density of states	1.5	states/eV/cell
relative energy among the computed polymorphs	0.000	eV/atom
total magnetic moment	0.0	μB/cell
formation energy from raw total energies	0.0387	eV per atom

LiCdPb2 after structural relaxation, computed with PBEsol.

Lattice parameters (Å, degrees): 3.368 5.059 5.946 90.00 93.33 90.00
Element x y z (fractional)
Pb1 0.737 0.000 0.746
Pb2 0.263 0.000 0.254
Cd1 0.500 0.500 0.000
Li1 0.000 0.500 0.500

Fermi-level density of states	1.6	states/eV/cell
ΔE_f	-66	meV per atom
total magnetic moment	0.0	μB/cell

Ni2Pt after structural relaxation, computed with PBEsol.

Lattice parameters (Å, degrees): 2.643 2.643 5.508 103.88 103.88 90.00
Each line ends with the local moment (μB).
Element x y z (fractional)
Ni1 0.675 0.675 0.349  0.71
Ni2 0.325 0.325 0.651  0.71
Pt1 0.000 0.000 0.000  0.27

Fermi-level density of states	4.9	states/eV/cell
ΔE_f	-29	meV per atom
total magnetic moment	1.6	μB/cell

ScBi3Cl after structural relaxation, computed with PBEsol.

Lattice parameters (Å, degrees): 5.355 5.355 5.355 90.00 90.00 90.00
Element x y z (fractional)
Sc1 0.500 0.500 0.500
Bi1 0.000 0.500 0.000
Bi2 0.000 0.000 0.500
Bi3 0.500 0.000 0.000
Cl1 0.000 0.000 0.000

Fermi-level density of states	3.4	states/eV/cell
total magnetic moment	0.0	μB/cell
formation energy from raw total energies	0.3461	eV per atom

NiPRu2 after structural relaxation, computed with PBEsol.

Lattice parameters (Å, degrees): 4.123 4.123 4.123 60.00 60.00 60.00
Element x y z (fractional)
Ni1 0.500 0.500 0.500
P1 0.250 0.250 0.250
Ru1 0.000 0.000 0.000
Ru2 0.750 0.750 0.750

Fermi-level density of states	4.4	states/eV/cell
ΔE_f	211	meV per atom
total magnetic moment	0.0	μB/cell

Mn2Sb2Br after structural relaxation, computed with PBEsol.

Lattice parameters (Å, degrees): 5.140 5.140 5.140 92.11 118.79 118.79
Each line ends with the local moment (μB).
Element x y z (fractional)
Sb1 0.500 0.750 0.250  -0.03
Sb2 0.500 0.250 0.750  -0.03
Mn1 0.000 0.638 0.638  1.29
Mn2 0.000 0.362 0.362  1.29
Br1 0.000 0.000 0.000  -0.04

Fermi-level density of states	3.1	states/eV/cell
total magnetic moment	2.7	μB/cell
formation energy from raw total energies	0.4411	eV per atom

ZrBiRh2Cl after structural relaxation, computed with PBEsol.

Lattice parameters (Å, degrees): 4.755 4.827 4.827 90.00 90.00 90.00
Element x y z (fractional)
Rh1 0.000 0.000 0.500
Rh2 0.000 0.500 0.000
Bi1 0.500 0.500 0.500
Zr1 0.000 0.000 0.000
Cl1 0.500 0.000 0.000

Fermi-level density of states	3.2	states/eV/cell
total magnetic moment	0.0	μB/cell
formation energy from raw total energies	0.2653	eV per atom

Cr2IrPt after structural relaxation, computed with PBEsol.

Lattice parameters (Å, degrees): 2.634 2.634 7.447 90.00 90.00 90.00
Each line ends with the local moment (μB).
Element x y z (fractional)
Cr1 0.000 0.000 0.757  0.33
Cr2 0.000 0.000 0.243  0.33
Ir1 0.500 0.500 0.000  -0.05
Pt1 0.500 0.500 0.500  -0.01

Fermi-level density of states	4.2	states/eV/cell
ΔE_f	-173	meV per atom
total magnetic moment	0.6	μB/cell

Mg2TlNi after structural relaxation, computed with PBEsol.

Lattice parameters (Å, degrees): 3.327 4.607 5.522 114.45 107.55 90.02
Element x y z (fractional)
Ni1 0.499 0.500 0.998
Tl1 0.784 0.283 0.567
Mg1 0.004 0.004 0.009
Mg2 0.213 0.713 0.426

Fermi-level density of states	1.4	states/eV/cell
ΔE_f	-4	meV per atom
total magnetic moment	0.0	μB/cell

LiZnGa2Cu after structural relaxation, computed with PBEsol.

Lattice parameters (Å, degrees): 4.553 4.575 4.575 90.00 90.00 90.00
Element x y z (fractional)
Zn1 0.000 0.000 0.000
Cu1 0.500 0.500 0.500
Ga1 0.000 0.000 0.500
Ga2 0.000 0.500 0.000
Li1 0.500 0.000 0.000

Fermi-level density of states	2.0	states/eV/cell
ΔE_f	493	meV per atom
total magnetic moment	0.0	μB/cell

Sr3PdPt after structural relaxation, computed with PBEsol.

Lattice parameters (Å, degrees): 5.564 5.564 5.564 90.00 90.00 90.00
Element x y z (fractional)
Sr1 0.000 0.500 0.000
Sr2 0.000 0.000 0.500
Sr3 0.500 0.000 0.000
Pd1 0.000 0.000 0.000
Pt1 0.500 0.500 0.500

Fermi-level density of states	4.4	states/eV/cell
ΔE_f	-3	meV per atom
total magnetic moment	0.0	μB/cell

SiTe2Au after structural relaxation, computed with PBEsol.

Lattice parameters (Å, degrees): 3.745 4.286 6.535 95.33 106.65 90.00
Element x y z (fractional)
Au1 0.500 0.518 0.000
Si1 0.679 0.323 0.358
Te1 0.034 0.016 0.067
Te2 0.287 0.643 0.575

Fermi-level density of states	1.7	states/eV/cell
total magnetic moment	0.0	μB/cell
formation energy from raw total energies	0.1233	eV per atom

LiRe4 after structural relaxation, computed with PBEsol.

Lattice parameters (Å, degrees): 4.589 4.589 4.589 109.47 109.47 109.47
Element x y z (fractional)
Li1 0.000 0.000 0.000
Re1 0.000 0.000 0.500
Re2 0.000 0.500 0.000
Re3 0.500 0.000 0.000
Re4 0.500 0.500 0.500

Fermi-level density of states	4.5	states/eV/cell
relative energy among the computed polymorphs	1.272	eV/atom
ΔE_f	1548	meV per atom
total magnetic moment	0.0	μB/cell